(1)
Entry from the Alexandria database: crystalline K8Cd2Au at its relaxed geometry (PBE-GGA).

Lattice parameters (Å, degrees): 22.084 6.080 8.377 90.00 108.04 90.00
Space group C2/m (No. 12)
Symmetry-distinct sites (fractional):
K (0.022, 0.000, 0.295) [4 per cell]
K (0.092, 0.500, 0.923) [4 per cell]
K (0.154, 0.500, 0.461) [4 per cell]
K (0.213, 0.000, 0.803) [4 per cell]
Cd (0.178, 0.000, 0.208) [4 per cell]
Au (0.000, 0.500, 0.500) [2 per cell]

Computed properties:
Calculated total energy   -0.0489 Ha/atom
E_form   -0.7 eV per formula unit
Spin magnetization   0.00 μB per cell


(2)
Entry from the Alexandria database: crystalline CaP4N7 at its relaxed geometry (PBE-GGA).

Lattice parameters (Å, degrees): 12.057 4.952 4.780 90.00 90.00 90.00
Space group Pmn2_1 (No. 31)
Symmetry-distinct sites (fractional):
Ca (0.000, 0.132, 0.000) [2 per cell]
P (0.120, 0.672, 0.432) [4 per cell]
P (0.249, 0.810, 0.923) [4 per cell]
N (0.000, 0.767, 0.320) [2 per cell]
N (0.133, 0.754, 0.759) [4 per cell]
N (0.136, 0.352, 0.356) [4 per cell]
N (0.217, 0.856, 0.259) [4 per cell]

Computed properties:
Calculated total energy   -0.2664 Ha/atom
E_form (uncorrected)   -0.4235 eV per atom
Spin magnetization   2.03 μB per cell


(3)
Entry from the Alexandria database: crystalline Na8Hg3Bi at its relaxed geometry (PBE-GGA).

Lattice parameters (Å, degrees): 11.535 11.665 6.313 90.00 122.02 90.00
Space group Cm (No. 8)
Symmetry-distinct sites (fractional):
Na (0.000, 0.000, 0.000) [2 per cell]
Na (0.063, 0.271, 0.297) [4 per cell]
Na (0.087, 0.000, 0.599) [2 per cell]
Na (0.226, 0.249, 0.941) [4 per cell]
Na (0.238, 0.500, 0.225) [2 per cell]
Na (0.384, 0.000, 0.618) [2 per cell]
Hg (0.375, 0.000, 0.110) [2 per cell]
Hg (0.397, 0.282, 0.609) [4 per cell]
Bi (0.170, 0.500, 0.656) [2 per cell]

Computed properties:
Calculated total energy   -0.0534 Ha/atom
E_form   -2.1 eV per formula unit
Spin magnetization   0.00 μB per cell


(4)
Entry from the Alexandria database: crystalline NaHfAl at its relaxed geometry (PBE-GGA).

Lattice parameters (Å, degrees): 13.435 3.026 7.006 90.00 102.45 90.00
Space group C2/m (No. 12)
Symmetry-distinct sites (fractional):
Na (0.150, 0.000, 0.070) [4 per cell]
Hf (0.156, 0.000, 0.541) [4 per cell]
Al (0.008, 0.500, 0.701) [4 per cell]

Computed properties:
Calculated total energy   -0.1791 Ha/atom
E_form   0.4 eV per formula unit
E above lowest polymorph   152 meV/atom
Spin magnetization   0.00 μB per cell


(5)
Entry from the Alexandria database: crystalline CaAlBiSe2 at its relaxed geometry (PBE-GGA).

Lattice parameters (Å, degrees): 4.858 4.858 6.260 90.00 90.00 90.00
Space group P4/mmm (No. 123)
Symmetry-distinct sites (fractional):
Ca (0.000, 0.000, 0.000) [1 per cell]
Al (0.000, 0.000, 0.500) [1 per cell]
Bi (0.500, 0.500, 0.000) [1 per cell]
Se (0.000, 0.500, 0.500) [2 per cell]

Computed properties:
Calculated total energy   -0.1234 Ha/atom
E_form (uncorrected)   -0.0401 eV per atom
Spin magnetization   0.00 μB per cell


(6)
Entry from the Alexandria database: crystalline CoSn3Se at its relaxed geometry (PBE-GGA).

Lattice parameters (Å, degrees): 5.470 5.470 5.470 90.00 90.00 90.00
Space group Pm-3m (No. 221)
Symmetry-distinct sites (fractional):
Co (0.000, 0.000, 0.000) [1 per cell]
Sn (0.000, 0.500, 0.500) [3 per cell]
Se (0.500, 0.500, 0.500) [1 per cell]

Computed properties:
Calculated total energy   -0.1285 Ha/atom
E_form (uncorrected)   1.0235 eV per atom
E above lowest polymorph   1125 meV/atom
Spin magnetization   2.10 μB per cell


What did the third record say?
Entry from the Alexandria database: crystalline Na8Hg3Bi at its relaxed geometry (PBE-GGA).

Lattice parameters (Å, degrees): 11.535 11.665 6.313 90.00 122.02 90.00
Space group Cm (No. 8)
Symmetry-distinct sites (fractional):
Na (0.000, 0.000, 0.000) [2 per cell]
Na (0.063, 0.271, 0.297) [4 per cell]
Na (0.087, 0.000, 0.599) [2 per cell]
Na (0.226, 0.249, 0.941) [4 per cell]
Na (0.238, 0.500, 0.225) [2 per cell]
Na (0.384, 0.000, 0.618) [2 per cell]
Hg (0.375, 0.000, 0.110) [2 per cell]
Hg (0.397, 0.282, 0.609) [4 per cell]
Bi (0.170, 0.500, 0.656) [2 per cell]

Computed properties:
Calculated total energy   -0.0534 Ha/atom
E_form   -2.1 eV per formula unit
Spin magnetization   0.00 μB per cell


Q: Which of these has the highest calculated total energy?
A: K8Cd2Au


Q: Look up the spin magnetization of the third one.
A: 0.00 μB per cell